No. 1
{"formula": "La2CoH", "functional": "PBE-GGA", "state": "relaxed", "e_tot_ev_per_cell": -21.3, "magnetic_moment_mub_per_fu": 0.0, "crystal_system": "trigonal", "de_polymorph_mev_per_atom": 0, "lattice_angstrom": [[1.994, 1.151, 6.285], [-1.994, 1.151, 6.285], [0.000, -2.303, 6.285]], "species": ["La", "La", "Co", "H"], "fractional_positions": [[0.250, 0.250, 0.250], [0.750, 0.750, 0.750], [0.000, 0.000, 0.000], [0.500, 0.500, 0.500]]}


No. 2
{"formula": "La4Co2H", "functional": "PBE-GGA", "state": "relaxed", "e_tot_ev_per_cell": -37.8, "magnetic_moment_mub_per_fu": 0.0, "crystal_system": "tetragonal", "lattice_angstrom": [[-2.460, 2.460, 6.960], [2.460, -2.460, 6.960], [2.460, 2.460, -6.960]], "species": ["La", "La", "La", "La", "Co", "Co", "H"], "fractional_positions": [[0.000, 0.500, 0.500], [0.201, 0.201, 0.000], [0.500, 0.000, 0.500], [0.799, 0.799, 0.000], [0.371, 0.371, 0.000], [0.629, 0.629, 0.000], [0.500, 0.500, 0.000]]}


No. 3
{"formula": "La8Co2H", "functional": "PBE-GGA", "state": "relaxed", "e_tot_ev_per_cell": -58.5, "magnetic_moment_mub_per_fu": 0.0, "crystal_system": "monoclinic", "lattice_angstrom": [[5.896, -4.364, 0.000], [5.896, 4.364, 0.000], [-0.829, 0.000, 6.254]], "species": ["La", "La", "La", "La", "La", "La", "La", "La", "Co", "Co", "H"], "fractional_positions": [[0.086, 0.086, 0.277], [0.169, 0.585, 0.194], [0.335, 0.335, 0.673], [0.415, 0.831, 0.806], [0.585, 0.169, 0.194], [0.665, 0.665, 0.327], [0.831, 0.415, 0.806], [0.914, 0.914, 0.723], [0.188, 0.188, 0.916], [0.812, 0.812, 0.084], [0.500, 0.500, 0.000]]}


No. 4
{"formula": "LaCoH2", "functional": "PBE-GGA", "state": "relaxed", "e_tot_ev_per_cell": -18.7, "magnetic_moment_mub_per_fu": 1.6, "crystal_system": "cubic", "de_polymorph_mev_per_atom": 266, "lattice_angstrom": [[0.000, 2.946, 2.946], [2.946, 0.000, 2.946], [2.946, 2.946, 0.000]], "species": ["La", "Co", "H", "H"], "fractional_positions": [[0.000, 0.000, 0.000], [0.500, 0.500, 0.500], [0.250, 0.250, 0.250], [0.750, 0.750, 0.750]]}


No. 5
{"formula": "La2CoH", "functional": "PBE-GGA", "state": "relaxed", "e_tot_ev_per_cell": -40.9, "magnetic_moment_mub_per_fu": 0.0, "crystal_system": "tetragonal", "de_polymorph_mev_per_atom": 209, "lattice_angstrom": [[-2.728, 2.728, 6.477], [2.728, -2.728, 6.477], [2.728, 2.728, -6.477]], "species": ["La", "La", "La", "La", "Co", "Co", "H", "H"], "fractional_positions": [[0.103, 0.625, 0.978], [0.375, 0.353, 0.478], [0.647, 0.125, 0.022], [0.875, 0.897, 0.522], [0.250, 0.750, 0.500], [0.500, 0.500, 0.000], [0.000, 0.000, 0.000], [0.750, 0.250, 0.500]]}


No. 6
{"formula": "LaCo3H", "functional": "PBE-GGA", "state": "relaxed", "e_tot_ev_per_cell": -28.6, "magnetic_moment_mub_per_fu": 2.3, "crystal_system": "cubic", "de_polymorph_mev_per_atom": 0, "lattice_angstrom": [[3.952, 0.000, 0.000], [0.000, 3.952, 0.000], [0.000, 0.000, 3.952]], "species": ["La", "Co", "Co", "Co", "H"], "fractional_positions": [[0.000, 0.000, 0.000], [0.000, 0.500, 0.500], [0.500, 0.000, 0.500], [0.500, 0.500, 0.000], [0.500, 0.500, 0.500]]}


No. 7
{"formula": "LaCo3H", "functional": "PBE-GGA", "state": "relaxed", "e_tot_ev_per_cell": -18.9, "magnetic_moment_mub_per_fu": 2.8, "crystal_system": "cubic", "de_polymorph_mev_per_atom": 1928, "lattice_angstrom": [[4.662, 0.000, 0.000], [0.000, 4.662, 0.000], [0.000, 0.000, 4.662]], "species": ["La", "Co", "Co", "Co", "H"], "fractional_positions": [[0.000, 0.000, 0.000], [0.000, 0.000, 0.500], [0.000, 0.500, 0.000], [0.500, 0.000, 0.000], [0.500, 0.500, 0.500]]}


No. 8
{"formula": "LaCo2H2", "functional": "PBE-GGA", "state": "relaxed", "e_tot_ev_per_cell": -26.1, "magnetic_moment_mub_per_fu": 0.0, "crystal_system": "tetragonal", "lattice_angstrom": [[-1.786, 1.786, 4.593], [1.786, -1.786, 4.593], [1.786, 1.786, -4.593]], "species": ["La", "Co", "Co", "H", "H"], "fractional_positions": [[0.000, 0.000, 0.000], [0.274, 0.274, 0.000], [0.726, 0.726, 0.000], [0.250, 0.750, 0.500], [0.750, 0.250, 0.500]]}


No. 9
{"formula": "La2CoH2", "functional": "PBE-GGA", "state": "relaxed", "e_tot_ev_per_cell": -48.6, "magnetic_moment_mub_per_fu": 0.3, "crystal_system": "tetragonal", "de_polymorph_mev_per_atom": 176, "lattice_angstrom": [[6.905, 0.000, 0.000], [0.000, 6.905, 0.000], [0.000, 0.000, 3.299]], "species": ["La", "La", "La", "La", "Co", "Co", "H", "H", "H", "H"], "fractional_positions": [[0.187, 0.313, 0.000], [0.313, 0.813, 0.000], [0.687, 0.187, 0.000], [0.813, 0.687, 0.000], [0.000, 0.000, 0.500], [0.500, 0.500, 0.500], [0.116, 0.616, 0.500], [0.384, 0.116, 0.500], [0.616, 0.884, 0.500], [0.884, 0.384, 0.500]]}


No. 10
{"formula": "La2CoH", "functional": "PBE-GGA", "state": "relaxed", "e_tot_ev_per_cell": -20.4, "magnetic_moment_mub_per_fu": 0.0, "crystal_system": "cubic", "de_polymorph_mev_per_atom": 208, "lattice_angstrom": [[0.000, 3.402, 3.402], [3.402, 0.000, 3.402], [3.402, 3.402, 0.000]], "species": ["La", "La", "Co", "H"], "fractional_positions": [[0.250, 0.250, 0.250], [0.750, 0.750, 0.750], [0.000, 0.000, 0.000], [0.500, 0.500, 0.500]]}